The following is a PBE-GGA calculation of Na3Zn2Hg3 after structural relaxation, from Alexandria.

extended XYZ file:
```
16
Lattice="2.3412 -5.5155 0.0000 2.3412 5.5155 0.0000 0.0000 0.0000 15.5489" Properties=species:S:1:pos:R:3 pbc="T T T"
Na 2.3412 4.6561 9.4438
Na 2.3412 4.6561 13.8796
Na 2.3412 1.4523 11.6617
Na 2.3412 -1.4523 3.8872
Na 2.3412 -4.6561 1.6693
Na 2.3412 -4.6561 6.1051
Zn 2.3412 3.1156 1.5194
Zn 2.3412 3.1156 6.2551
Zn 2.3412 -3.1156 9.2938
Zn 2.3412 -3.1156 14.0296
Hg 2.3412 1.7542 3.8872
Hg 2.3412 1.3224 8.4665
Hg 2.3412 1.3224 14.8569
Hg 2.3412 -1.3224 0.6920
Hg 2.3412 -1.3224 7.0825
Hg 2.3412 -1.7542 11.6617
```

Properties
Symmetry: Cmcm (63)
Total moment, μB/cell: 0.0
Electronic total energy, Ry/atom: -0.0784